Entry 1:
Compound: Tb2ErMg
Source: Alexandria
Functional: GGA-PBE
Structure: relaxed

Calculated values
**Magnetic moment**: 0.000 Bohr magnetons per cell
**ΔH_f (0 K)**: 0.04 eV/atom
**Mass density**: 7.2 g/cm³
**DOS(E_F)**: 4.70 states/eV/f.u.
**Energy above the most stable polymorph in this dataset**: 63 meV per atom

a b c (Å): 5.491 5.491 5.491
angles (deg): 60.00 60.00 60.00
Atoms (fractional coordinates):
Tb1 0.250 0.250 0.250
Tb2 0.750 0.750 0.750
Er1 0.000 0.000 0.000
Mg1 0.500 0.500 0.500


Entry 2:
Compound: Cr3PtW
Source: Alexandria
Functional: GGA-PBE
Structure: relaxed

Calculated values
**Magnetic moment**: 0.000 Bohr magnetons per cell
**ΔH_f (0 K)**: 1.74 eV/atom
**Mass density**: 10.2 g/cm³
**DOS(E_F)**: 8.28 states/eV/f.u.

a b c (Å): 4.429 4.429 4.429
angles (deg): 90.00 90.00 90.00
Atoms (fractional coordinates):
Cr1 0.000 0.000 0.500
Cr2 0.000 0.500 0.000
Cr3 0.500 0.000 0.000
Pt1 0.500 0.500 0.500
W1 0.000 0.000 0.000


Entry 3:
Compound: BiSb2TeP
Source: Alexandria
Functional: GGA-PBE
Structure: relaxed

Calculated values
**Magnetic moment**: 0.796 Bohr magnetons per cell
**Mass density**: 5.0 g/cm³
**DOS(E_F)**: 7.16 states/eV/f.u.
**Energy above the most stable polymorph in this dataset**: 875 meV per atom

a b c (Å): 5.876 5.876 5.927
angles (deg): 90.00 90.00 90.00
Atoms (fractional coordinates):
Bi1 0.000 0.000 0.000
Sb1 0.000 0.500 0.000
Sb2 0.500 0.000 0.000
Te1 0.000 0.000 0.500
P1 0.500 0.500 0.500


Entry 4:
Compound: BaPr2Dy
Source: Alexandria
Functional: GGA-PBE
Structure: relaxed

Calculated values
**Magnetic moment**: 0.000 Bohr magnetons per cell
**ΔH_f (0 K)**: 0.20 eV/atom
**Mass density**: 6.3 g/cm³
**DOS(E_F)**: 6.79 states/eV/f.u.
**Energy above the most stable polymorph in this dataset**: 93 meV per atom

a b c (Å): 5.319 5.319 5.445
angles (deg): 90.00 90.00 90.00
Atoms (fractional coordinates):
Ba1 0.000 0.000 0.000
Pr1 0.000 0.500 0.500
Pr2 0.500 0.000 0.500
Dy1 0.500 0.500 0.000


Entry 5:
Compound: La2TbAg2
Source: Alexandria
Functional: GGA-PBE
Structure: relaxed

Calculated values
**Magnetic moment**: 0.000 Bohr magnetons per cell
**ΔH_f (0 K)**: -0.19 eV/atom
**Mass density**: 7.6 g/cm³
**DOS(E_F)**: 5.30 states/eV/f.u.
**Energy above the most stable polymorph in this dataset**: 0 meV per atom

a b c (Å): 6.674 5.119 8.872
angles (deg): 90.00 109.16 90.00
Atoms (fractional coordinates):
La1 0.095 0.250 0.372
La2 0.121 0.250 0.954
La3 0.879 0.750 0.046
La4 0.905 0.750 0.628
Tb1 0.454 0.750 0.238
Tb2 0.546 0.250 0.762
Ag1 0.371 0.750 0.887
Ag2 0.386 0.750 0.557
Ag3 0.614 0.250 0.443
Ag4 0.629 0.250 0.113


Entry 6:
Compound: Ac4Hg3Pb
Source: Alexandria
Functional: GGA-PBE
Structure: relaxed

Calculated values
**Magnetic moment**: 0.000 Bohr magnetons per cell
**ΔH_f (0 K)**: -0.45 eV/atom
**Mass density**: 10.1 g/cm³
**DOS(E_F)**: 9.19 states/eV/f.u.
**Energy above the most stable polymorph in this dataset**: 20 meV per atom

a b c (Å): 4.483 5.043 12.520
angles (deg): 90.00 90.00 90.00
Atoms (fractional coordinates):
Ac1 0.000 0.000 0.000
Ac2 0.000 0.500 0.271
Ac3 0.500 0.000 0.488
Ac4 0.500 0.500 0.775
Hg1 0.000 0.500 0.547
Hg2 0.500 0.000 0.215
Hg3 0.500 0.500 0.050
Pb1 0.000 0.000 0.717


Entry 7:
Compound: Li6HgRh
Source: Alexandria
Functional: GGA-PBE
Structure: relaxed

Calculated values
**Magnetic moment**: 0.000 Bohr magnetons per cell
**ΔH_f (0 K)**: -0.18 eV/atom
**Mass density**: 4.6 g/cm³
**DOS(E_F)**: 1.87 states/eV/f.u.
**Energy above the most stable polymorph in this dataset**: 0 meV per atom

a b c (Å): 4.301 4.301 6.707
angles (deg): 90.00 90.00 90.00
Atoms (fractional coordinates):
Li1 0.000 0.000 0.000
Li2 0.000 0.500 0.225
Li3 0.000 0.500 0.775
Li4 0.500 0.000 0.225
Li5 0.500 0.000 0.775
Li6 0.500 0.500 0.500
Hg1 0.000 0.000 0.500
Rh1 0.500 0.500 0.000


Entry 8:
Compound: Ho2Al9Ga
Source: Alexandria
Functional: GGA-PBE
Structure: relaxed

Calculated values
**Magnetic moment**: 0.000 Bohr magnetons per cell
**ΔH_f (0 K)**: -0.24 eV/atom
**Mass density**: 4.8 g/cm³
**DOS(E_F)**: 4.23 states/eV/f.u.

a b c (Å): 4.197 4.197 12.676
angles (deg): 90.00 90.00 90.00
Atoms (fractional coordinates):
Ho1 0.000 0.000 0.167
Ho2 0.000 0.000 0.833
Al1 0.000 0.500 0.000
Al2 0.000 0.500 0.342
Al3 0.000 0.500 0.658
Al4 0.500 0.000 0.000
Al5 0.500 0.000 0.342
Al6 0.500 0.000 0.658
Al7 0.500 0.500 0.168
Al8 0.500 0.500 0.500
Al9 0.500 0.500 0.832
Ga1 0.000 0.000 0.500


Entry 9:
Compound: Na2CdSbS4
Source: Alexandria
Functional: GGA-PBE
Structure: relaxed

Calculated values
**Magnetic moment**: 0.000 Bohr magnetons per cell
**Energy**: -3.674 eV/atom
**Mass density**: 3.9 g/cm³
**DOS(E_F)**: 3.06 states/eV/f.u.

a b c (Å): 7.922 7.922 7.922
angles (deg): 121.22 119.18 89.66
Atoms (fractional coordinates):
Na1 0.000 0.000 0.000
Na2 0.500 0.000 0.000
Na3 0.500 0.000 0.500
Na4 0.500 0.500 0.500
Cd1 0.000 0.500 0.500
Cd2 0.500 0.500 0.000
Sb1 0.000 0.000 0.500
Sb2 0.000 0.500 0.000
S1 0.231 0.749 0.482
S2 0.233 0.251 0.982
S3 0.235 0.247 0.512
S4 0.235 0.723 0.988
S5 0.765 0.277 0.012
S6 0.765 0.753 0.488
S7 0.767 0.749 0.018
S8 0.769 0.251 0.518


Entry 10:
Compound: Na3FeRu
Source: Alexandria
Functional: GGA-PBE
Structure: relaxed

Calculated values
**Magnetic moment**: 5.113 Bohr magnetons per cell
**ΔH_f (0 K)**: 1.64 eV/atom
**Mass density**: 2.6 g/cm³
**DOS(E_F)**: 8.02 states/eV/f.u.

a b c (Å): 5.215 5.215 5.215
angles (deg): 90.00 90.00 90.00
Atoms (fractional coordinates):
Na1 0.000 0.000 0.500
Na2 0.000 0.500 0.000
Na3 0.500 0.000 0.000
Fe1 0.000 0.000 0.000
Ru1 0.500 0.500 0.500


Entry 11:
Compound: Dy6MnZn5
Source: Alexandria
Functional: GGA-PBE
Structure: relaxed

Calculated values
**Magnetic moment**: 2.076 Bohr magnetons per cell
**ΔH_f (0 K)**: -0.25 eV/atom
**Mass density**: 8.3 g/cm³
**DOS(E_F)**: 13.54 states/eV/f.u.

a b c (Å): 8.708 8.708 5.019
angles (deg): 106.64 106.64 48.37
Atoms (fractional coordinates):
Dy1 0.083 0.586 0.334
Dy2 0.245 0.755 0.000
Dy3 0.414 0.917 0.666
Dy4 0.586 0.083 0.334
Dy5 0.755 0.245 0.000
Dy6 0.917 0.414 0.666
Mn1 0.000 0.000 0.500
Zn1 0.167 0.167 0.167
Zn2 0.334 0.334 0.833
Zn3 0.500 0.500 0.500
Zn4 0.666 0.666 0.167
Zn5 0.833 0.833 0.833


Entry 12:
Compound: CePu5Se8
Source: Alexandria
Functional: GGA-PBE
Structure: relaxed

Calculated values
**Magnetic moment**: 28.000 Bohr magnetons per cell
**Energy**: -9.150 eV/atom
**Mass density**: 9.8 g/cm³
**DOS(E_F)**: 44.48 states/eV/f.u.

a b c (Å): 7.607 7.607 7.607
angles (deg): 109.47 109.47 109.46
Atoms (fractional coordinates):
Ce1 0.000 0.000 0.000
Pu1 0.125 0.501 0.875
Pu2 0.250 0.750 0.500
Pu3 0.499 0.374 0.625
Pu4 0.626 0.250 0.125
Pu5 0.750 0.875 0.375
Se1 0.023 0.274 0.401
Se2 0.227 0.125 0.750
Se3 0.375 0.478 0.250
Se4 0.378 0.977 0.251
Se5 0.522 0.773 0.898
Se6 0.726 0.127 0.749
Se7 0.873 0.622 0.599
Se8 0.875 0.625 0.102